First-principles (PBE) data for a geometry-optimized ZrPaFe2 structure, as listed in Alexandria.

## Properties
symmetry	Fm-3m (225)
E	-8.7787	eV/atom
formation energy from the elements	-0.036	eV per atom
polymorph energy (0 for the lowest one)	46	meV/atom

Lattice parameters (Å, degrees): 4.613 4.613 4.613 60.00 60.00 60.00
Positions (direct):
Pa (0.500, 0.500, 0.500)
Fe (0.250, 0.250, 0.250)
Fe (0.750, 0.750, 0.750)
Zr (0.000, 0.000, 0.000)